The following is a DFT calculation (GGA-PBE) of a relaxed structure of SnAu2S2.

a b c (Å): 3.8176 3.8176 8.1880
angles (deg): 90.00 90.00 120.00
Space group P-3m1 (No. 164)
Asymmetric unit:
Sn1 0.0000 0.0000 0.0000 x1
Au1 0.3333 0.6667 0.3927 x2
S1 0.3333 0.6667 0.8049 x2

Results
The value obtained for the uncorrected energy is -3.709 eV/atom. Its crystal system is trigonal. Its volume is 20.67 Å³/atom.